Entry 1:
Nd5SmYEr2 PBE-GGA optimized geometry; calculated volume = 34.64 A^3/atom; SG = Cmc2_1, No. 36; formation energy = 0.150 eV/atom
1.0
2.833 -10.261 0.000
2.833 10.261 0.000
0.000 0.000 10.724
Nd Sm Y Er
10 2 2 4
direct
0.015 0.985 0.500 Nd
0.280 0.720 0.790 Nd
0.296 0.704 0.185 Nd
0.389 0.611 0.504 Nd
0.481 0.519 0.223 Nd
0.519 0.481 0.723 Nd
0.611 0.389 0.004 Nd
0.704 0.296 0.685 Nd
0.720 0.280 0.290 Nd
0.985 0.015 0.000 Nd
0.200 0.800 0.490 Sm
0.800 0.200 0.990 Sm
0.409 0.591 0.939 Y
0.591 0.409 0.439 Y
0.111 0.889 0.219 Er
0.116 0.884 0.793 Er
0.884 0.116 0.293 Er
0.889 0.111 0.719 Er

***

Entry 2:
SmHoEr2As4 PBE-GGA optimized geometry; calculated volume = 24.74 A^3/atom; SG = P2/m, No. 10; formation energy = -1.520 eV/atom
1.0
7.135 0.000 0.000
0.000 4.123 0.000
-2.379 0.000 6.728
Sm Ho Er As
1 1 2 4
direct
0.000 0.000 0.000 Sm
0.000 0.500 0.500 Ho
0.500 0.000 0.500 Er
0.500 0.500 0.000 Er
0.254 0.000 0.748 As
0.256 0.500 0.255 As
0.744 0.500 0.745 As
0.746 0.000 0.252 As

***

Entry 3:
Sr2Mg2Co PBE-GGA optimized geometry; calculated volume = 37.66 A^3/atom; energy above the most stable polymorph in this dataset = 3.03 eV per formula unit; SG = I4/mmm, No. 139; formation energy = 0.948 eV/atom
1.0
5.116 0.000 0.000
0.000 5.116 0.000
0.000 0.000 14.385
Sr Mg Co
4 4 2
direct
0.000 0.500 0.250 Sr
0.000 0.500 0.750 Sr
0.500 0.000 0.250 Sr
0.500 0.000 0.750 Sr
0.000 0.000 0.094 Mg
0.000 0.000 0.906 Mg
0.500 0.500 0.406 Mg
0.500 0.500 0.594 Mg
0.000 0.000 0.500 Co
0.500 0.500 0.000 Co

***

Entry 4:
Ac2As3Pd9 PBE-GGA optimized geometry; calculated volume = 18.59 A^3/atom; SG = C2/c, No. 15; formation energy = -0.669 eV/atom
1.0
7.006 -3.944 0.000
7.006 3.944 0.000
-4.689 0.000 9.421
Ac As Pd
4 6 18
direct
0.084 0.261 0.246 Ac
0.261 0.084 0.746 Ac
0.739 0.916 0.254 Ac
0.916 0.739 0.754 Ac
0.000 0.500 0.000 As
0.161 0.672 0.500 As
0.328 0.839 0.000 As
0.500 0.000 0.500 As
0.672 0.161 0.000 As
0.839 0.328 0.500 As
0.013 0.874 0.080 Pd
0.126 0.987 0.420 Pd
0.183 0.356 0.566 Pd
0.217 0.578 0.253 Pd
0.322 0.494 0.981 Pd
0.356 0.183 0.066 Pd
0.368 0.632 0.750 Pd
0.422 0.783 0.247 Pd
0.494 0.322 0.481 Pd
0.506 0.678 0.519 Pd
0.578 0.217 0.753 Pd
0.632 0.368 0.250 Pd
0.644 0.817 0.934 Pd
0.678 0.506 0.019 Pd
0.783 0.422 0.747 Pd
0.817 0.644 0.434 Pd
0.874 0.013 0.580 Pd
0.987 0.126 0.920 Pd

***

Entry 5:
ThTiBi3 PBE-GGA optimized geometry; calculated volume = 28.52 A^3/atom; SG = Pbcm, No. 57; formation energy = -0.366 eV/atom
1.0
13.469 0.000 0.000
0.000 6.645 0.000
0.000 0.000 6.373
Th Ti Bi
4 4 12
direct
0.189 0.003 0.250 Th
0.189 0.497 0.750 Th
0.811 0.503 0.250 Th
0.811 0.997 0.750 Th
0.406 0.750 0.000 Ti
0.406 0.750 0.500 Ti
0.594 0.250 0.000 Ti
0.594 0.250 0.500 Ti
0.001 0.750 0.000 Bi
0.001 0.750 0.500 Bi
0.264 0.508 0.250 Bi
0.264 0.992 0.750 Bi
0.430 0.105 0.250 Bi
0.430 0.395 0.750 Bi
0.570 0.605 0.250 Bi
0.570 0.895 0.750 Bi
0.736 0.008 0.250 Bi
0.736 0.492 0.750 Bi
0.999 0.250 0.000 Bi
0.999 0.250 0.500 Bi

***

Entry 6:
Pr3Er3Cd PBE-GGA optimized geometry; calculated volume = 31.63 A^3/atom; SG = P6_3/m, No. 176; formation energy = -0.038 eV/atom
1.0
9.562 0.000 0.000
-4.781 8.281 0.000
0.000 0.000 5.591
Pr Er Cd
6 6 2
direct
0.106 0.634 0.250 Pr
0.366 0.472 0.250 Pr
0.472 0.106 0.750 Pr
0.528 0.894 0.250 Pr
0.634 0.528 0.750 Pr
0.894 0.366 0.750 Pr
0.055 0.822 0.750 Er
0.178 0.233 0.750 Er
0.233 0.055 0.250 Er
0.767 0.945 0.750 Er
0.822 0.767 0.250 Er
0.945 0.178 0.250 Er
0.333 0.667 0.750 Cd
0.667 0.333 0.250 Cd

***

Entry 7:
Y2Au PBE-GGA optimized geometry; calculated volume = 30.87 A^3/atom; SG = Pnnm, No. 58; formation energy = -0.392 eV/atom
1.0
6.880 0.000 0.000
0.000 7.004 0.000
0.000 0.000 3.844
Y Au
4 2
direct
0.151 0.224 0.000 Y
0.349 0.724 0.500 Y
0.651 0.276 0.500 Y
0.849 0.776 0.000 Y
0.000 0.500 0.500 Au
0.500 0.000 0.000 Au

***

Entry 8:
SrMnRuPb2 PBE-GGA optimized geometry; calculated volume = 25.45 A^3/atom; SG = P4/mmm, No. 123; formation energy = 0.447 eV/atom
1.0
5.241 0.000 0.000
0.000 5.241 0.000
0.000 0.000 4.633
Sr Mn Ru Pb
1 1 1 2
direct
0.000 0.000 0.000 Sr
0.500 0.500 0.500 Mn
0.500 0.500 0.000 Ru
0.000 0.500 0.500 Pb
0.500 0.000 0.500 Pb

***

Entry 9:
GdYScTl PBE-GGA optimized geometry; calculated volume = 27.61 A^3/atom; SG = F-43m, No. 216; formation energy = -0.088 eV/atom
1.0
7.616 0.000 0.000
0.000 7.616 0.000
0.000 0.000 7.616
Gd Y Sc Tl
4 4 4 4
direct
0.000 0.000 0.000 Gd
0.000 0.500 0.500 Gd
0.500 0.000 0.500 Gd
0.500 0.500 0.000 Gd
0.000 0.000 0.500 Y
0.000 0.500 0.000 Y
0.500 0.000 0.000 Y
0.500 0.500 0.500 Y
0.250 0.250 0.750 Sc
0.250 0.750 0.250 Sc
0.750 0.250 0.250 Sc
0.750 0.750 0.750 Sc
0.250 0.250 0.250 Tl
0.250 0.750 0.750 Tl
0.750 0.250 0.750 Tl
0.750 0.750 0.250 Tl

***

Entry 10:
YErCuRh PBE-GGA optimized geometry; calculated volume = 21.27 A^3/atom; energy above the most stable polymorph in this dataset = 0.00 eV per formula unit; SG = Amm2, No. 38; formation energy = -0.593 eV/atom
1.0
4.346 0.000 0.000
0.000 3.767 0.000
0.000 0.000 10.392
Y Er Cu Rh
2 2 2 2
direct
0.000 0.000 0.000 Y
0.000 0.500 0.500 Y
0.500 0.000 0.722 Er
0.500 0.500 0.222 Er
0.500 0.000 0.434 Cu
0.500 0.500 0.934 Cu
0.000 0.000 0.277 Rh
0.000 0.500 0.777 Rh

***

Entry 11:
ReSn2W2 PBE-GGA optimized geometry; calculated volume = 20.14 A^3/atom; SG = I4/mmm, No. 139; formation energy = 1.160 eV/atom
1.0
3.578 0.000 0.000
0.000 3.578 0.000
0.000 0.000 15.730
Re Sn W
2 4 4
direct
0.000 0.000 0.000 Re
0.500 0.500 0.500 Re
0.000 0.000 0.402 Sn
0.000 0.000 0.598 Sn
0.500 0.500 0.098 Sn
0.500 0.500 0.902 Sn
0.000 0.500 0.250 W
0.000 0.500 0.750 W
0.500 0.000 0.250 W
0.500 0.000 0.750 W

***

Entry 12:
VHg PBE-GGA optimized geometry; calculated volume = 18.38 A^3/atom; SG = Pmmn, No. 59; formation energy = 0.579 eV/atom
1.0
2.964 0.000 0.000
0.000 12.522 0.000
0.000 0.000 5.941
V Hg
6 6
direct
0.250 0.061 0.104 V
0.250 0.250 0.299 V
0.250 0.439 0.104 V
0.750 0.561 0.896 V
0.750 0.750 0.701 V
0.750 0.939 0.896 V
0.250 0.091 0.614 Hg
0.250 0.409 0.614 Hg
0.250 0.750 0.089 Hg
0.750 0.250 0.911 Hg
0.750 0.591 0.386 Hg
0.750 0.909 0.386 Hg

***

So what do the calculations give for E? Going down the list: -0.3495 -0.4518 -0.1311 -0.4109 -0.4231 -0.3067 -0.4259 -0.3720 -0.5438 -0.4565 -0.5962 -0.3037 Ry/atom.